[1]
A plane-wave DFT calculation with GGA-PBE was carried out for a geometry-optimized LiPaO2 structure.

The structure in CIF format:
```
data_LiPaO2
_chemical_formula_sum 'Li3 Pa3 O6'
_cell_length_a 3.3899
_cell_length_b 3.3899
_cell_length_c 18.9213
_cell_angle_alpha 90.00
_cell_angle_beta 90.00
_cell_angle_gamma 120.00
_space_group_name_H-M_alt 'R -3 m'
_space_group_IT_number 166
_space_group_name_Hall '-R 3 2"'
loop_
_atom_site_label
_atom_site_type_symbol
_atom_site_fract_x
_atom_site_fract_y
_atom_site_fract_z
_atom_site_occupancy
Li1 Li 0.0000 0.0000 0.0000 1
Pa1 Pa 0.0000 0.0000 0.5000 1
O1 O 0.0000 0.0000 0.0956 1
```

Output
E, eV per atom: -7.673
Crystal system: trigonal
Volume, Å³/f.u.: 63
Formation energy without anion corrections, eV per formula unit: -9.4
Mass density, g/cm³: 7.1

[2]
A plane-wave DFT calculation with GGA-PBE was carried out for a geometry-optimized Zr2FeSb structure.

The structure in CIF format:
```
data_Zr2FeSb
_chemical_formula_sum 'Zr2 Fe1 Sb1'
_cell_length_a 3.626
_cell_length_b 3.626
_cell_length_c 6.025
_cell_angle_alpha 90.00
_cell_angle_beta 90.00
_cell_angle_gamma 90.00
_space_group_name_H-M_alt 'P 4/m m m'
_space_group_IT_number 123
_space_group_name_Hall '-P 4 2'
loop_
_atom_site_label
_atom_site_type_symbol
_atom_site_fract_x
_atom_site_fract_y
_atom_site_fract_z
_atom_site_occupancy
Zr1 Zr 0.000 0.000 0.238 1
Fe1 Fe 0.500 0.500 0.000 1
Sb1 Sb 0.500 0.500 0.500 1
```

Output
E, eV per atom: -7.691
Crystal system: tetragonal
Volume, Å³/f.u.: 79
Formation energy without anion corrections, eV per formula unit: -1.1
Mass density, g/cm³: 7.5

[3]
A plane-wave DFT calculation with GGA-PBE was carried out for a geometry-optimized Li2FeRh structure.

The structure in CIF format:
```
data_Li2FeRh
_chemical_formula_sum 'Li4 Fe2 Rh2'
_cell_length_a 9.106
_cell_length_b 2.671
_cell_length_c 4.390
_cell_angle_alpha 90.00
_cell_angle_beta 102.02
_cell_angle_gamma 90.00
_space_group_name_H-M_alt 'C 1 2/m 1'
_space_group_IT_number 12
loop_
_space_group_symop_operation_xyz
'x,y,z'
'-x,-y,-z'
'-x,y,-z'
'x,-y,z'
'x+1/2,y+1/2,z'
'-x+1/2,-y+1/2,-z'
'-x+1/2,y+1/2,-z'
'x+1/2,-y+1/2,z'
loop_
_atom_site_label
_atom_site_type_symbol
_atom_site_fract_x
_atom_site_fract_y
_atom_site_fract_z
_atom_site_occupancy
Li1 Li 0.248 0.000 0.245 1
Fe1 Fe 0.000 0.000 0.500 1
Rh1 Rh 0.000 0.500 0.000 1
```

Output
E, eV per atom: -4.921
Crystal system: monoclinic
Volume, Å³/f.u.: 52
Mass density, g/cm³: 5.5

[4]
A plane-wave DFT calculation with GGA-PBE was carried out for a geometry-optimized BeP4Ru structure.

The structure in CIF format:
```
data_BeP4Ru
_chemical_formula_sum 'Be4 P16 Ru4'
_cell_length_a 6.891
_cell_length_b 6.891
_cell_length_c 6.891
_cell_angle_alpha 90.00
_cell_angle_beta 90.00
_cell_angle_gamma 90.00
_space_group_name_H-M_alt 'F -4 3 m'
_space_group_IT_number 216
_space_group_name_Hall 'F -4 2 3'
loop_
_atom_site_label
_atom_site_type_symbol
_atom_site_fract_x
_atom_site_fract_y
_atom_site_fract_z
_atom_site_occupancy
Be1 Be 0.000 0.000 0.000 1
P1 P 0.127 0.127 0.627 1
Ru1 Ru 0.250 0.250 0.250 1
```

Output
E, eV per atom: -4.917
Crystal system: cubic
Volume, Å³/f.u.: 82
Mass density, g/cm³: 4.8

[5]
A plane-wave DFT calculation with GGA-PBE was carried out for a geometry-optimized Ca2ZrTc structure.

The structure in CIF format:
```
data_Ca2ZrTc
_chemical_formula_sum 'Ca4 Zr2 Tc2'
_cell_length_a 3.709
_cell_length_b 4.792
_cell_length_c 10.716
_cell_angle_alpha 90.00
_cell_angle_beta 90.00
_cell_angle_gamma 90.00
_space_group_name_H-M_alt 'C m m m'
_space_group_IT_number 65
_space_group_name_Hall '-C 2 2'
loop_
_atom_site_label
_atom_site_type_symbol
_atom_site_fract_x
_atom_site_fract_y
_atom_site_fract_z
_atom_site_occupancy
Ca1 Ca 0.000 0.000 0.216 1
Zr1 Zr 0.000 0.500 0.500 1
Tc1 Tc 0.000 0.500 0.000 1
```

Output
E, eV per atom: -5.100
Crystal system: orthorhombic
Volume, Å³/f.u.: 95
Mass density, g/cm³: 4.7

[6]
A plane-wave DFT calculation with GGA-PBE was carried out for a geometry-optimized Ca4Tm3AgSe8 structure.

The structure in CIF format:
```
data_Ca4Tm3AgSe8
_chemical_formula_sum 'Ca12 Tm9 Ag3 Se24'
_cell_length_a 8.2309
_cell_length_b 8.2309
_cell_length_c 20.2000
_cell_angle_alpha 90.00
_cell_angle_beta 90.00
_cell_angle_gamma 120.00
_space_group_name_H-M_alt 'R -3 m'
_space_group_IT_number 166
_space_group_name_Hall '-R 3 2"'
loop_
_atom_site_label
_atom_site_type_symbol
_atom_site_fract_x
_atom_site_fract_y
_atom_site_fract_z
_atom_site_occupancy
Ca1 Ca 0.0000 0.0000 0.0000 1
Ca2 Ca 0.0000 0.5000 0.0000 1
Tm1 Tm 0.0000 0.5000 0.5000 1
Ag1 Ag 0.0000 0.0000 0.5000 1
Se1 Se 0.0000 0.0000 0.2467 1
Se2 Se 0.0049 0.5025 0.7532 1
```

Output
E, eV per atom: -4.969
Crystal system: trigonal
Volume, Å³/f.u.: 395
Formation energy without anion corrections, eV per formula unit: -27.4
Mass density, g/cm³: 5.9

[7]
A plane-wave DFT calculation with GGA-PBE was carried out for a geometry-optimized TiAg7Se6 structure.

The structure in CIF format:
```
data_TiAg7Se6
_chemical_formula_sum 'Ti4 Ag28 Se24'
_cell_length_a 6.121
_cell_length_b 13.388
_cell_length_c 16.712
_cell_angle_alpha 90.00
_cell_angle_beta 90.00
_cell_angle_gamma 90.00
_space_group_name_H-M_alt 'I b a m'
_space_group_IT_number 72
_space_group_name_Hall '-I 2 2c'
loop_
_atom_site_label
_atom_site_type_symbol
_atom_site_fract_x
_atom_site_fract_y
_atom_site_fract_z
_atom_site_occupancy
Ti1 Ti 0.000 0.000 0.250 1
Ag1 Ag 0.000 0.500 0.250 1
Ag2 Ag 0.041 0.246 0.093 1
Ag3 Ag 0.198 0.073 0.500 1
Se1 Se 0.213 0.375 0.500 1
Se2 Se 0.220 0.105 0.336 1
```

Output
E, eV per atom: -3.684
Crystal system: orthorhombic
Volume, Å³/f.u.: 342
Formation energy without anion corrections, eV per formula unit: -2.8
Mass density, g/cm³: 6.2

[8]
A plane-wave DFT calculation with GGA-PBE was carried out for a geometry-optimized MnBr2Cl structure.

The structure in CIF format:
```
data_MnBr2Cl
_chemical_formula_sum 'Mn3 Br6 Cl3'
_cell_length_a 3.8156
_cell_length_b 3.8156
_cell_length_c 24.5571
_cell_angle_alpha 90.00
_cell_angle_beta 90.00
_cell_angle_gamma 120.00
_space_group_name_H-M_alt 'R -3 m'
_space_group_IT_number 166
_space_group_name_Hall '-R 3 2"'
loop_
_atom_site_label
_atom_site_type_symbol
_atom_site_fract_x
_atom_site_fract_y
_atom_site_fract_z
_atom_site_occupancy
Mn1 Mn 0.0000 0.0000 0.0000 1
Br1 Br 0.0000 0.0000 0.2726 1
Cl1 Cl 0.0000 0.0000 0.5000 1
```

Output
E, eV per atom: -3.929
Crystal system: trigonal
Volume, Å³/f.u.: 103
Formation energy without anion corrections, eV per formula unit: -1.4
Mass density, g/cm³: 4.0

- Which of these has the highest E?
  TiAg7Se6